Entry 1:
12
Lattice="3.0203 -3.4384 0.0000 3.0203 3.4384 0.0000 -0.8699 0.0000 11.4859" Properties=species:S:1:pos:R:3 comment="ThBi2P2Pd7 (PBE-GGA, optimized geometry)" delta_e_f_ev_per_atom=-0.501 spacegroup="No. 12" pbc="T T T"
Th 0.0000 0.0000 0.0000
Bi 0.5759 0.0000 4.4231
Bi 4.5949 0.0000 7.0629
P 1.1806 0.0000 9.3289
P 3.9901 0.0000 2.1571
Pd 2.0552 1.4000 2.3468
Pd 1.6879 0.0000 6.9919
Pd 3.1156 1.4000 9.1392
Pd 3.0203 0.0000 0.0000
Pd 2.0552 -1.4000 2.3468
Pd 3.4829 0.0000 4.4940
Pd 3.1156 -1.4000 9.1392

---

Entry 2:
12
Lattice="2.8821 -2.8791 0.0000 2.8821 2.8791 0.0000 -1.7065 0.0000 13.7610" Properties=species:S:1:pos:R:3 comment="TmBi2P2Pd7 (PBE-GGA, optimized geometry)" delta_e_f_ev_per_atom=-0.517 spacegroup="No. 12" pbc="T T T"
Tm 0.0000 0.0000 0.0000
Bi 0.0044 0.0000 5.4526
Bi 4.0534 0.0000 8.3084
P 1.1760 0.0000 10.4090
P 2.8818 0.0000 3.3519
Pd 1.4449 1.4417 2.1108
Pd 1.1867 0.0000 8.0802
Pd 2.6129 1.4417 11.6501
Pd 2.8821 0.0000 0.0000
Pd 1.4449 -1.4417 2.1108
Pd 2.8711 0.0000 5.6808
Pd 2.6129 -1.4417 11.6501

---

Entry 3:
5
Lattice="5.1517 0.0000 0.0000 0.0000 5.1517 0.0000 0.0000 0.0000 5.0018" Properties=species:S:1:pos:R:3 comment="V2BiPPd (PBE-GGA, optimized geometry)" delta_e_f_ev_per_atom=1.472 spacegroup="No. 123" pbc="T T T"
V 0.0000 2.5759 0.0000
V 2.5759 0.0000 0.0000
Bi 0.0000 0.0000 0.0000
P 2.5759 2.5759 2.5009
Pd 0.0000 0.0000 2.5009

---

Entry 4:
12
Lattice="2.8663 -2.8500 0.0000 2.8663 2.8500 0.0000 -1.9175 0.0000 13.1474" Properties=species:S:1:pos:R:3 comment="ZnBi2P2Pd7 (PBE-GGA, optimized geometry)" delta_e_f_ev_per_atom=-0.334 spacegroup="No. 12" pbc="T T T"
Zn 0.0000 0.0000 0.0000
Bi -0.0425 0.0000 4.9077
Bi 3.8576 0.0000 8.2397
P 0.9537 0.0000 9.9692
P 2.8614 0.0000 3.1783
Pd 1.4318 1.4262 1.9440
Pd 0.9420 0.0000 7.5865
Pd 2.3833 1.4262 11.2034
Pd 2.8663 0.0000 0.0000
Pd 1.4318 -1.4262 1.9440
Pd 2.8731 0.0000 5.5610
Pd 2.3833 -1.4262 11.2034

---

Entry 5:
16
Lattice="7.5598 0.0000 0.0000 0.0000 7.5598 0.0000 0.0000 0.0000 7.5598" Properties=species:S:1:pos:R:3 comment="Pm2BiP (PBE-GGA, optimized geometry)" e_above_lowest_polymorph_mev_per_atom=485 delta_e_f_ev_per_atom=-0.730 spacegroup="No. 225" pbc="T T T"
Pm 1.8900 1.8900 1.8900
Pm 1.8900 1.8900 5.6699
Pm 1.8900 5.6699 1.8900
Pm 1.8900 5.6699 5.6699
Pm 5.6699 1.8900 1.8900
Pm 5.6699 1.8900 5.6699
Pm 5.6699 5.6699 1.8900
Pm 5.6699 5.6699 5.6699
Bi 0.0000 0.0000 0.0000
Bi 0.0000 3.7799 3.7799
Bi 3.7799 0.0000 3.7799
Bi 3.7799 3.7799 0.0000
P 0.0000 0.0000 3.7799
P 0.0000 3.7799 0.0000
P 3.7799 0.0000 0.0000
P 3.7799 3.7799 3.7799

---

Entry 6:
12
Lattice="3.8832 -6.6323 0.0000 3.8832 6.6323 0.0000 -2.4962 0.0000 7.1730" Properties=species:S:1:pos:R:3 comment="Pm3Bi2P (PBE-GGA, optimized geometry)" e_above_lowest_polymorph_mev_per_atom=0 delta_e_f_ev_per_atom=-1.086 spacegroup="No. 15" pbc="T T T"
Pm 1.9416 3.3162 0.0000
Pm 0.4727 0.9972 3.5646
Pm -0.7754 -0.9972 7.1512
Pm 0.6935 -3.3162 3.5865
Pm 6.0456 0.9972 0.0219
Pm 4.7975 -0.9972 3.6084
Bi 2.0110 3.2143 5.3798
Bi 3.2592 1.0887 1.7933
Bi 2.0110 -1.0887 5.3798
Bi 3.2592 -3.2143 1.7933
P 3.2592 5.5061 1.7933
P 2.0110 -5.5061 5.3798

---

Entry 7:
16
Lattice="7.1577 0.0000 0.0000 0.0000 7.1577 0.0000 0.0000 0.0000 7.1577" Properties=species:S:1:pos:R:3 comment="PmBiP2 (PBE-GGA, optimized geometry)" e_above_lowest_polymorph_mev_per_atom=113 delta_e_f_ev_per_atom=-0.326 spacegroup="No. 225" pbc="T T T"
Pm 0.0000 0.0000 0.0000
Pm 0.0000 3.5789 3.5789
Pm 3.5789 0.0000 3.5789
Pm 3.5789 3.5789 0.0000
Bi 0.0000 0.0000 3.5789
Bi 0.0000 3.5789 0.0000
Bi 3.5789 0.0000 0.0000
Bi 3.5789 3.5789 3.5789
P 1.7894 1.7894 1.7894
P 1.7894 1.7894 5.3683
P 1.7894 5.3683 1.7894
P 1.7894 5.3683 5.3683
P 5.3683 1.7894 1.7894
P 5.3683 1.7894 5.3683
P 5.3683 5.3683 1.7894
P 5.3683 5.3683 5.3683

---

Entry 8:
14
Lattice="7.0218 0.0000 0.0000 0.0000 6.6598 0.0000 -3.2770 0.0000 9.2313" Properties=species:S:1:pos:R:3 comment="Pm4Bi2P (PBE-GGA, optimized geometry)" e_above_lowest_polymorph_mev_per_atom=25 delta_e_f_ev_per_atom=-0.765 spacegroup="No. 11" pbc="T T T"
Pm -0.8092 0.0136 2.4014
Pm -0.8092 3.3163 2.4014
Pm 2.6256 4.9949 0.6971
Pm 1.0317 4.9949 5.8518
Pm 2.7132 1.6650 3.3795
Pm 1.1192 1.6650 8.5342
Pm 4.5541 3.3435 6.8299
Pm 4.5541 6.6462 6.8299
Bi 1.2780 1.6650 0.4063
Bi -0.3109 1.6650 5.1537
Bi 4.0557 4.9949 4.0777
Bi 2.4668 4.9949 8.8250
P 1.2949 4.9949 3.1037
P 2.4499 1.6650 6.1276

---

Entry 9:
12
Lattice="4.3548 0.0000 0.0000 -2.1774 3.7714 0.0000 0.0000 0.0000 22.7917" Properties=species:S:1:pos:R:3 comment="Pm3Bi2P (PBE-GGA, optimized geometry)" e_above_lowest_polymorph_mev_per_atom=80 delta_e_f_ev_per_atom=-1.005 spacegroup="No. 194" pbc="T T T"
Pm 0.0000 0.0000 0.0000
Pm 0.0000 0.0000 11.3959
Pm 0.0000 2.5143 3.9581
Pm 0.0000 2.5143 7.4377
Pm 2.1774 1.2571 15.3540
Pm 2.1774 1.2571 18.8336
Bi 0.0000 2.5143 13.3624
Bi 0.0000 2.5143 20.8251
Bi 2.1774 1.2571 1.9666
Bi 2.1774 1.2571 9.4293
P 0.0000 0.0000 5.6979
P 0.0000 0.0000 17.0938

---

Entry 10:
4
Lattice="3.8773 0.0000 0.0000 0.0000 3.8773 0.0000 0.0000 0.0000 6.5015" Properties=species:S:1:pos:R:3 comment="PmBiP2 (PBE-GGA, optimized geometry)" e_above_lowest_polymorph_mev_per_atom=22 delta_e_f_ev_per_atom=-0.416 spacegroup="No. 123" pbc="T T T"
Pm 0.0000 0.0000 0.0000
Bi 0.0000 0.0000 3.2507
P 1.9387 1.9387 1.1367
P 1.9387 1.9387 5.3647

---

Entry 11:
4
Lattice="4.8962 0.0000 0.0000 0.0000 4.8962 0.0000 0.0000 0.0000 3.7538" Properties=species:S:1:pos:R:3 comment="PmBiP2 (PBE-GGA, optimized geometry)" e_above_lowest_polymorph_mev_per_atom=0 delta_e_f_ev_per_atom=-0.439 spacegroup="No. 123" pbc="T T T"
Pm 0.0000 0.0000 0.0000
Bi 2.4481 2.4481 0.0000
P 0.0000 2.4481 1.8769
P 2.4481 0.0000 1.8769

---

Entry 12:
10
Lattice="-5.0140 5.0140 3.1861 5.0140 -5.0140 3.1861 5.0140 5.0140 -3.1861" Properties=species:S:1:pos:R:3 comment="Pm5Bi4P (PBE-GGA, optimized geometry)" e_above_lowest_polymorph_mev_per_atom=0 delta_e_f_ev_per_atom=-1.021 spacegroup="No. 87" pbc="T T T"
Pm 0.0000 0.0000 0.0000
Pm 5.9828 2.2105 0.0000
Pm 2.2105 4.0452 0.0000
Pm 2.8035 0.9688 3.1861
Pm -0.9688 2.8035 3.1861
Bi 3.0451 0.9322 0.0000
Bi 4.0818 -1.9689 3.1861
Bi 0.9322 6.9829 0.0000
Bi 1.9689 4.0818 3.1861
P 0.0000 0.0000 3.1861

---

Entry 13:
12
Lattice="4.1989 0.0000 0.0000 -2.0995 3.6364 0.0000 0.0000 0.0000 23.0015" Properties=species:S:1:pos:R:3 comment="Pm2BiP (PBE-GGA, optimized geometry)" e_above_lowest_polymorph_mev_per_atom=86 delta_e_f_ev_per_atom=-1.129 spacegroup="No. 160" pbc="T T T"
Pm 0.0000 0.0000 0.0000
Pm 0.0000 0.0000 4.4382
Pm 0.0000 2.4243 15.3343
Pm 0.0000 2.4243 19.7725
Pm 2.0995 1.2121 7.6672
Pm 2.0995 1.2121 12.1053
Bi 0.0000 0.0000 17.5716
Bi 0.0000 2.4243 9.9044
Bi 2.0995 1.2121 2.2373
P 0.0000 0.0000 13.6860
P 0.0000 2.4243 6.0188
P 2.0995 1.2121 21.3531

---

Entry 14:
12
Lattice="4.2892 0.0000 0.0000 -2.1446 3.7145 0.0000 0.0000 0.0000 21.8617" Properties=species:S:1:pos:R:3 comment="Pm2BiP (PBE-GGA, optimized geometry)" e_above_lowest_polymorph_mev_per_atom=0 delta_e_f_ev_per_atom=-1.216 spacegroup="No. 166" pbc="T T T"
Pm 0.0000 0.0000 5.2418
Pm 0.0000 0.0000 16.6199
Pm 0.0000 2.4764 9.3327
Pm 0.0000 2.4764 19.8162
Pm 2.1446 1.2382 2.0454
Pm 2.1446 1.2382 12.5290
Bi 0.0000 0.0000 0.0000
Bi 0.0000 2.4764 14.5745
Bi 2.1446 1.2382 7.2872
P 0.0000 0.0000 10.9308
P 0.0000 2.4764 3.6436
P 2.1446 1.2382 18.2181

---

Entry 15:
10
Lattice="-2.2517 2.2517 15.8607 2.2517 -2.2517 15.8607 2.2517 2.2517 -15.8607" Properties=species:S:1:pos:R:3 comment="Pm5Bi4P (PBE-GGA, optimized geometry)" e_above_lowest_polymorph_mev_per_atom=8 delta_e_f_ev_per_atom=-1.013 spacegroup="No. 139" pbc="T T T"
Pm 0.0000 0.0000 0.0000
Pm 0.0000 0.0000 6.3662
Pm 0.0000 0.0000 12.9755
Pm 0.0000 0.0000 18.7460
Pm 0.0000 0.0000 25.3553
Bi 0.0000 0.0000 3.1494
Bi 0.0000 0.0000 9.6240
Bi 0.0000 0.0000 22.0974
Bi 0.0000 0.0000 28.5721
P 0.0000 0.0000 15.8607

---

Entry 16:
22
Lattice="2.1014 -6.8144 0.0000 2.1014 6.8144 0.0000 0.0000 0.0000 21.1262" Properties=species:S:1:pos:R:3 comment="Pm6BiP4 (PBE-GGA, optimized geometry)" delta_e_f_ev_per_atom=-1.360 spacegroup="No. 63" pbc="T T T"
Pm 0.0000 0.0000 0.0000
Pm 0.0000 0.0000 10.5631
Pm 2.1014 4.5946 15.8447
Pm 2.1014 3.1020 1.6996
Pm 2.1014 3.1020 8.8635
Pm 2.1014 0.5214 13.8672
Pm 2.1014 0.5214 17.8222
Pm 2.1014 -0.5214 3.3041
Pm 2.1014 -0.5214 7.2591
Pm 2.1014 -3.1020 12.2627
Pm 2.1014 -3.1020 19.4266
Pm 2.1014 -4.5946 5.2816
Bi 2.1014 4.6154 5.2816
Bi 2.1014 -4.6154 15.8447
P 2.1014 5.5464 13.1907
P 2.1014 5.5464 18.4986
P 2.1014 1.8710 11.4328
P 2.1014 1.8710 20.2565
P 2.1014 -1.8710 0.8697
P 2.1014 -1.8710 9.6934
P 2.1014 -5.5464 2.6276
P 2.1014 -5.5464 7.9355

---

Entry 17:
12
Lattice="4.2996 0.0000 0.0000 -2.1498 3.7236 0.0000 0.0000 0.0000 24.1197" Properties=species:S:1:pos:R:3 comment="PmBiP2 (PBE-GGA, optimized geometry)" e_above_lowest_polymorph_mev_per_atom=323 delta_e_f_ev_per_atom=-0.116 spacegroup="No. 166" pbc="T T T"
Pm 0.0000 0.0000 0.0000
Pm 0.0000 2.4824 16.0798
Pm 2.1498 1.2412 8.0399
Bi 0.0000 0.0000 12.0599
Bi 0.0000 2.4824 4.0200
Bi 2.1498 1.2412 20.0997
P 0.0000 0.0000 9.4590
P 0.0000 0.0000 14.6607
P 0.0000 2.4824 1.4191
P 0.0000 2.4824 6.6208
P 2.1498 1.2412 17.4989
P 2.1498 1.2412 22.7006

---

Entry 18:
5
Lattice="5.4265 0.0000 0.0000 0.0000 5.4265 0.0000 0.0000 0.0000 5.4265" Properties=species:S:1:pos:R:3 comment="Pm3BiP (PBE-GGA, optimized geometry)" delta_e_f_ev_per_atom=-0.748 spacegroup="No. 221" pbc="T T T"
Pm 0.0000 0.0000 2.7132
Pm 0.0000 2.7132 0.0000
Pm 2.7132 0.0000 0.0000
Bi 2.7132 2.7132 2.7132
P 0.0000 0.0000 0.0000

---

Entry 19:
14
Lattice="5.3110 0.0000 0.0000 0.0000 5.3110 0.0000 0.0000 0.0000 16.5863" Properties=species:S:1:pos:R:3 comment="Pm4Bi2P (PBE-GGA, optimized geometry)" e_above_lowest_polymorph_mev_per_atom=0 delta_e_f_ev_per_atom=-0.789 spacegroup="No. 139" pbc="T T T"
Pm 0.0000 0.0000 2.7629
Pm 0.0000 0.0000 13.8235
Pm 0.0000 2.6555 0.0000
Pm 0.0000 2.6555 8.2932
Pm 2.6555 0.0000 0.0000
Pm 2.6555 0.0000 8.2932
Pm 2.6555 2.6555 5.5303
Pm 2.6555 2.6555 11.0560
Bi 0.0000 0.0000 6.0176
Bi 0.0000 0.0000 10.5687
Bi 2.6555 2.6555 2.2755
Bi 2.6555 2.6555 14.3108
P 0.0000 0.0000 0.0000
P 2.6555 2.6555 8.2932

---

Entry 20:
20
Lattice="-4.6027 4.6027 4.6027 4.6027 -4.6027 4.6027 4.6027 4.6027 -4.6027" Properties=species:S:1:pos:R:3 comment="Pm4BiP3Rh12 (PBE-GGA, optimized geometry)" delta_e_f_ev_per_atom=-0.437 spacegroup="No. 229" pbc="T T T"
Pm 2.3013 2.3013 -2.3013
Pm 2.3013 -2.3013 2.3013
Pm -2.3013 2.3013 2.3013
Pm 2.3013 2.3013 2.3013
Bi 0.0000 0.0000 0.0000
P 4.6027 0.0000 0.0000
P 0.0000 4.6027 0.0000
P 0.0000 0.0000 4.6027
Rh 2.5047 0.0000 0.0000
Rh 6.7006 0.0000 0.0000
Rh 4.6027 2.3013 0.0000
Rh 4.6027 0.0000 2.3013
Rh 0.0000 2.5047 0.0000
Rh 0.0000 0.0000 2.5047
Rh 2.3013 4.6027 0.0000
Rh 2.3013 0.0000 4.6027
Rh 0.0000 6.7006 0.0000
Rh 0.0000 0.0000 6.7006
Rh 0.0000 4.6027 2.3013
Rh 0.0000 2.3013 4.6027

---

Entry 21:
12
Lattice="9.0604 -2.0789 0.0000 9.0604 2.0789 0.0000 -1.8394 0.0000 8.1609" Properties=species:S:1:pos:R:3 comment="Pm6BiP2S3 (PBE-GGA, optimized geometry)" dft_energy_ev_per_atom=-6.316 spacegroup="No. 12" pbc="T T T"
Pm -0.4295 0.0000 2.2372
Pm 4.2227 0.0000 7.3502
Pm 5.2123 0.0000 3.4347
Pm 11.0691 0.0000 4.7262
Pm 12.0587 0.0000 0.8108
Pm 16.7109 0.0000 5.9237
Bi 9.0604 0.0000 0.0000
P 2.4266 0.0000 2.7408
P 13.8548 0.0000 5.4201
S 1.4385 0.0000 6.7967
S 8.1407 0.0000 4.0805
S 14.8429 0.0000 1.3642

---

Entry 22:
12
Lattice="9.5546 -2.1850 0.0000 9.5546 2.1850 0.0000 -2.0260 0.0000 8.5783" Properties=species:S:1:pos:R:3 comment="Pm6BiSb3P2 (PBE-GGA, optimized geometry)" dft_energy_ev_per_atom=-5.861 spacegroup="No. 12" pbc="T T T"
Pm -0.3408 0.0000 2.2288
Pm 5.3884 0.0000 3.6773
Pm 4.4576 0.0000 7.6958
Pm 12.6257 0.0000 0.8825
Pm 11.6949 0.0000 4.9010
Pm 17.4241 0.0000 6.3495
Bi 9.5546 0.0000 0.0000
Sb 1.4175 0.0000 7.1320
Sb 8.5416 0.0000 4.2891
Sb 15.6658 0.0000 1.4462
P 2.5546 0.0000 2.8895
P 14.5287 0.0000 5.6887

---

Entry 23:
8
Lattice="7.6608 0.0000 0.0000 0.0000 4.4119 0.0000 -2.5419 0.0000 7.2621" Properties=species:S:1:pos:R:3 comment="Pm4BiSb2P (PBE-GGA, optimized geometry)" dft_energy_ev_per_atom=-5.737 spacegroup="No. 10" pbc="T T T"
Pm 1.2175 0.0000 1.6888
Pm -0.0630 2.2060 5.5366
Pm 5.1818 2.2060 1.7255
Pm 3.9014 0.0000 5.5733
Bi -1.2710 0.0000 3.6311
Sb 3.8304 0.0000 0.0000
Sb 2.5594 2.2060 3.6311
P 0.0000 2.2060 0.0000

---

Number 1: total magnetic moment 0.0 Bohr magnetons per cell. Number 2: total magnetic moment 0.0 Bohr magnetons per cell. Number 3: total magnetic moment 5.0 Bohr magnetons per cell. Number 4: total magnetic moment 0.0 Bohr magnetons per cell. Number 5: total magnetic moment 0.0 Bohr magnetons per cell. Number 6: total magnetic moment 0.0 Bohr magnetons per cell. Number 7: total magnetic moment 0.0 Bohr magnetons per cell. Number 8: total magnetic moment 0.0 Bohr magnetons per cell. Number 9: total magnetic moment 0.0 Bohr magnetons per cell. Number 10: total magnetic moment 0.0 Bohr magnetons per cell. Number 11: total magnetic moment 0.0 Bohr magnetons per cell. Number 12: total magnetic moment 0.0 Bohr magnetons per cell. Number 13: total magnetic moment 0.0 Bohr magnetons per cell. Number 14: total magnetic moment 0.0 Bohr magnetons per cell. Number 15: total magnetic moment 0.0 Bohr magnetons per cell. Number 16: total magnetic moment 1.3 Bohr magnetons per cell. Number 17: total magnetic moment 0.0 Bohr magnetons per cell. Number 18: total magnetic moment 0.0 Bohr magnetons per cell. Number 19: total magnetic moment 0.0 Bohr magnetons per cell. Number 20: total magnetic moment 0.0 Bohr magnetons per cell. Number 21: total magnetic moment 0.0 Bohr magnetons per cell. Number 22: total magnetic moment 0.0 Bohr magnetons per cell. Number 23: total magnetic moment 0.0 Bohr magnetons per cell.